# 1
The following is a PBE calculation of a relaxed structure of LiP2HO, from Alexandria via LeMat-Bulk.

abc: 3.467 3.467 4.624
angles: 90.00 90.00 90.00
Space group P4/mmm (No. 123)
One atom of each set of equivalent atoms:
1 Li 0.000 0.000 0.000
2 P 0.000 0.500 0.500
3 H 0.500 0.500 0.500
4 O 0.500 0.500 0.000

## Properties
DOS(E_F): 0.63 states/eV/atom
Distance to the lowest polymorph of the same formula: 0.0000 eV/atom

# 2
The following is a PBE calculation of a relaxed structure of Sm3TmTl2, from Alexandria via LeMat-Bulk.

abc: 5.177 10.185 6.798
angles: 90.00 90.00 90.00
Space group Pmc2_1 (No. 26)
One atom of each set of equivalent atoms:
1 Sm 0.000 0.037 0.000
2 Sm 0.000 0.321 0.362
3 Sm 0.500 0.189 0.730
4 Tm 0.500 0.462 0.087
5 Tl 0.000 0.364 0.841
6 Tl 0.500 0.138 0.253

## Properties
DOS(E_F): 1.03 states/eV/atom
Formation enthalpy at 0 K: -0.2650 eV/atom
Distance to the lowest polymorph of the same formula: 0.0000 eV/atom

# 3
The following is a PBE calculation of a relaxed structure of TeHSe2, from Alexandria via LeMat-Bulk.

abc: 4.5690 4.5690 18.4707
angles: 90.00 90.00 120.00
Space group R-3m (No. 166, hexagonal axes)
One atom of each set of equivalent atoms:
1 Te 0.0000 0.0000 0.0000
2 H 0.0000 0.0000 0.5000
3 Se 0.0000 0.0000 0.4037

## Properties
DOS(E_F): 0.32 states/eV/atom
Distance to the lowest polymorph of the same formula: 0.1733 eV/atom

# 4
The following is a PBE calculation of a relaxed structure of CaVZn2N4, from Alexandria via LeMat-Bulk.

abc: 7.052 5.634 5.333
angles: 90.00 90.00 90.00
Space group Pmn2_1 (No. 31)
One atom of each set of equivalent atoms:
1 Ca 0.000 0.177 0.000
2 V 0.000 0.810 0.523
3 Zn 0.245 0.326 0.515
4 N 0.000 0.134 0.462
5 N 0.000 0.773 0.862
6 N 0.205 0.665 0.391

## Properties
DOS(E_F): 0.60 states/eV/atom
Energy relative to the elements, uncorrected: -437 meV per atom

# 5
The following is a PBE calculation of a relaxed structure of TmGeN2, from Alexandria via LeMat-Bulk.

abc: 3.1799 3.1799 19.1413
angles: 90.00 90.00 120.00
Space group R-3m (No. 166, hexagonal axes)
One atom of each set of equivalent atoms:
1 Tm 0.0000 0.0000 0.0000
2 Ge 0.0000 0.0000 0.5000
3 N 0.0000 0.0000 0.1147

## Properties
DOS(E_F): 0.98 states/eV/atom
Energy relative to the elements, uncorrected: 230 meV per atom

# 6
The following is a PBE calculation of a relaxed structure of KBaCa, from Alexandria via LeMat-Bulk.

abc: 4.266 6.643 12.610
angles: 89.98 83.06 89.94
Space group P-1 (No. 2)
One atom of each set of equivalent atoms:
1 K 0.186 0.250 0.087
2 Ba 0.426 0.250 0.706
3 Ca 0.022 0.250 0.421

## Properties
DOS(E_F): 1.40 states/eV/atom
Formation enthalpy at 0 K: 0.0806 eV/atom
Distance to the lowest polymorph of the same formula: 0.0000 eV/atom

# 7
The following is a PBE calculation of a relaxed structure of Pm8Te4P3Pd, from Alexandria via LeMat-Bulk.

abc: 8.5316 8.5316 21.6043
angles: 90.00 90.00 120.00
Space group R-3m (No. 166, hexagonal axes)
One atom of each set of equivalent atoms:
1 Pm 0.0000 0.0000 0.2373
2 Pm 0.0059 0.5029 0.7607
3 Te 0.0000 0.0000 0.0000
4 Te 0.0000 0.5000 0.0000
5 P 0.0000 0.5000 0.5000
6 Pd 0.0000 0.0000 0.5000

## Properties
DOS(E_F): 0.52 states/eV/atom
Energy relative to the elements, uncorrected: -1426 meV per atom

# 8
The following is a PBE calculation of a relaxed structure of KTaAu, from Alexandria via LeMat-Bulk.

abc: 7.153 7.153 7.153
angles: 90.00 90.00 90.00
Space group F-43m (No. 216)
One atom of each set of equivalent atoms:
1 K 0.000 0.000 0.000
2 Ta 0.250 0.250 0.750
3 Au 0.250 0.250 0.250

## Properties
DOS(E_F): 2.58 states/eV/atom
Formation enthalpy at 0 K: 2.1563 eV/atom
Distance to the lowest polymorph of the same formula: 1.5775 eV/atom

# 9
The following is a PBE calculation of a relaxed structure of CsVSe2, from Alexandria via LeMat-Bulk.

abc: 7.432 7.432 7.432
angles: 90.00 90.00 90.00
Space group Fm-3m (No. 225)
One atom of each set of equivalent atoms:
1 Cs 0.000 0.000 0.000
2 V 0.000 0.000 0.500
3 Se 0.250 0.250 0.250

## Properties
DOS(E_F): 0.33 states/eV/atom
Energy relative to the elements, uncorrected: 60 meV per atom

# 10
The following is a PBE calculation of a relaxed structure of EuPuTlZn, from Alexandria via LeMat-Bulk.

abc: 7.609 7.609 7.609
angles: 90.00 90.00 90.00
Space group F-43m (No. 216)
One atom of each set of equivalent atoms:
1 Eu 0.000 0.000 0.000
2 Pu 0.000 0.000 0.500
3 Tl 0.250 0.250 0.250
4 Zn 0.250 0.250 0.750

## Properties
DOS(E_F): 3.37 states/eV/atom
Formation enthalpy at 0 K: -0.1096 eV/atom

# 11
The following is a PBE calculation of a relaxed structure of LiAuS4O14, from Alexandria via LeMat-Bulk.

abc: 5.489 6.822 8.931
angles: 106.24 93.66 102.25
Space group P-1 (No. 2)
One atom of each set of equivalent atoms:
1 Li 0.000 0.000 0.000
2 Au 0.000 0.500 0.500
3 S 0.135 0.301 0.753
4 S 0.412 0.730 0.785
5 O 0.049 0.238 0.884
6 O 0.069 0.608 0.312
7 O 0.238 0.846 0.855
8 O 0.239 0.168 0.633
9 O 0.323 0.179 0.175
10 O 0.358 0.652 0.604
11 O 0.370 0.516 0.838

## Properties
DOS(E_F): 0.00 states/eV/atom
Energy relative to the elements, uncorrected: -1156 meV per atom

# 12
The following is a PBE calculation of a relaxed structure of Hf5NiOs4, from Alexandria via LeMat-Bulk.

abc: 3.239 3.239 16.292
angles: 90.00 90.00 90.00
Space group P4/mmm (No. 123)
One atom of each set of equivalent atoms:
1 Hf 0.000 0.000 0.000
2 Hf 0.000 0.000 0.202
3 Hf 0.000 0.000 0.403
4 Ni 0.500 0.500 0.500
5 Os 0.500 0.500 0.101
6 Os 0.500 0.500 0.303

## Properties
DOS(E_F): 0.72 states/eV/atom
Formation enthalpy at 0 K: -0.6326 eV/atom

# 13
The following is a PBE calculation of a relaxed structure of Ac3Sn4, from Alexandria via LeMat-Bulk.

abc: 4.755 12.273 16.459
angles: 90.00 90.00 90.00
Space group Cmcm (No. 63)
One atom of each set of equivalent atoms:
1 Ac 0.000 0.040 0.250
2 Ac 0.000 0.324 0.097
3 Sn 0.000 0.000 0.000
4 Sn 0.000 0.234 0.750
5 Sn 0.000 0.388 0.607

## Properties
DOS(E_F): 0.49 states/eV/atom
Formation enthalpy at 0 K: -0.7195 eV/atom
Distance to the lowest polymorph of the same formula: 0.0000 eV/atom

# 14
The following is a PBE calculation of a relaxed structure of U3Tl3Te8Au, from Alexandria via LeMat-Bulk.

abc: 14.370 9.145 9.343
angles: 90.00 118.19 90.00
Space group C2/m (No. 12)
One atom of each set of equivalent atoms:
1 U 0.000 0.000 0.000
2 U 0.250 0.250 0.000
3 Tl 0.000 0.500 0.500
4 Tl 0.250 0.250 0.500
5 Te 0.019 0.221 0.772
6 Te 0.212 0.500 0.192
7 Te 0.241 0.000 0.218
8 Au 0.000 0.500 0.000

## Properties
DOS(E_F): 1.11 states/eV/atom
Energy relative to the elements, uncorrected: -428 meV per atom

# 15
The following is a PBE calculation of a relaxed structure of BaMnW2, from Alexandria via LeMat-Bulk.

abc: 6.827 6.827 6.827
angles: 90.00 90.00 90.00
Space group F-43m (No. 216)
One atom of each set of equivalent atoms:
1 Ba 0.000 0.000 0.000
2 Mn 0.250 0.250 0.250
3 W 0.000 0.000 0.500
4 W 0.250 0.250 0.750

## Properties
DOS(E_F): 1.34 states/eV/atom
Formation enthalpy at 0 K: 1.4003 eV/atom
Distance to the lowest polymorph of the same formula: 0.6589 eV/atom

# 16
The following is a PBE calculation of a relaxed structure of TbCSe, from Alexandria via LeMat-Bulk.

abc: 12.597 5.697 4.267
angles: 90.00 103.31 90.00
Space group C2/m (No. 12)
One atom of each set of equivalent atoms:
1 Tb 0.156 0.000 0.188
2 C 0.027 0.000 0.645
3 Se 0.184 0.500 0.200

## Properties
DOS(E_F): 0.00 states/eV/atom
Energy relative to the elements, uncorrected: -938 meV per atom
Distance to the lowest polymorph of the same formula: 0.0000 eV/atom

# 17
The following is a PBE calculation of a relaxed structure of Tc2H2Ru, from Alexandria via LeMat-Bulk.

abc: 5.969 5.969 2.795
angles: 90.00 90.00 90.00
Space group P4/mbm (No. 127)
One atom of each set of equivalent atoms:
1 Tc 0.135 0.365 0.000
2 H 0.198 0.698 0.500
3 Ru 0.000 0.000 0.500

## Properties
DOS(E_F): 0.67 states/eV/atom
Distance to the lowest polymorph of the same formula: 0.1158 eV/atom

# 18
The following is a PBE calculation of a relaxed structure of NaTcBMo2, from Alexandria via LeMat-Bulk.

abc: 4.649 4.649 5.255
angles: 90.00 90.00 90.00
Space group P4/mmm (No. 123)
One atom of each set of equivalent atoms:
1 Na 0.000 0.000 0.000
2 Tc 0.000 0.000 0.500
3 B 0.500 0.500 0.000
4 Mo 0.000 0.500 0.500

## Properties
DOS(E_F): 1.14 states/eV/atom
Formation enthalpy at 0 K: 2.3655 eV/atom

# 19
The following is a PBE calculation of a relaxed structure of Ac2Mg12Cd7, from Alexandria via LeMat-Bulk.

abc: 11.7407 11.7407 4.4630
angles: 90.00 90.00 120.00
Space group P-3 (No. 147)
One atom of each set of equivalent atoms:
1 Ac 0.3333 0.6667 0.2497
2 Mg 0.0471 0.6157 0.7499
3 Mg 0.1126 0.8486 0.2562
4 Cd 0.0000 0.0000 0.0000
5 Cd 0.1286 0.4173 0.7508

## Properties
DOS(E_F): 0.38 states/eV/atom
Formation enthalpy at 0 K: -0.1426 eV/atom

# 20
The following is a PBE calculation of a relaxed structure of Te6PtRh, from Alexandria via LeMat-Bulk.

abc: 6.6350 6.6350 16.2136
angles: 90.00 90.00 120.00
Space group R-3 (No. 148, hexagonal axes)
One atom of each set of equivalent atoms:
1 Te 0.0052 0.7034 0.2495
2 Pt 0.0000 0.0000 0.0000
3 Rh 0.0000 0.0000 0.5000

## Properties
DOS(E_F): 0.50 states/eV/atom
Energy relative to the elements, uncorrected: -247 meV per atom

# 21
The following is a PBE calculation of a relaxed structure of SbP2Os, from Alexandria via LeMat-Bulk.

abc: 4.610 3.155 4.706
angles: 90.00 104.55 90.00
Space group P2/m (No. 10)
One atom of each set of equivalent atoms:
1 Sb 0.000 0.000 0.000
2 P 0.500 0.000 0.500
3 P 0.500 0.500 0.000
4 Os 0.000 0.500 0.500

## Properties
DOS(E_F): 0.70 states/eV/atom
Energy relative to the elements, uncorrected: 802 meV per atom

# 22
The following is a PBE calculation of a relaxed structure of Cr2FeP, from Alexandria via LeMat-Bulk.

abc: 5.582 5.582 5.582
angles: 90.00 90.00 90.00
Space group F-43m (No. 216)
One atom of each set of equivalent atoms:
1 Cr 0.000 0.000 0.000
2 Cr 0.250 0.250 0.250
3 Fe 0.000 0.000 0.500
4 P 0.250 0.250 0.750

## Properties
DOS(E_F): 1.11 states/eV/atom
Formation enthalpy at 0 K: -0.1419 eV/atom

# 23
The following is a PBE calculation of a relaxed structure of LiTaZn2, from Alexandria via LeMat-Bulk.

abc: 4.837 4.837 2.730
angles: 90.00 90.00 90.00
Space group P4/mmm (No. 123)
One atom of each set of equivalent atoms:
1 Li 0.000 0.000 0.000
2 Ta 0.500 0.500 0.000
3 Zn 0.000 0.500 0.500

## Properties
DOS(E_F): 0.51 states/eV/atom
Formation enthalpy at 0 K: 0.0033 eV/atom
Distance to the lowest polymorph of the same formula: 0.0706 eV/atom

# 24
The following is a PBE calculation of a relaxed structure of RbPaO2F, from Alexandria via LeMat-Bulk.

abc: 6.278 6.278 9.634
angles: 90.00 90.00 90.00
Space group I4cm (No. 108)
One atom of each set of equivalent atoms:
1 Rb 0.000 0.500 0.000
2 Pa 0.000 0.000 0.250
3 O 0.249 0.251 0.249
4 F 0.000 0.000 0.000

## Properties
DOS(E_F): 0.43 states/eV/atom
Energy relative to the elements, uncorrected: -3006 meV per atom